## V3PtF (GGA+U)

Data for a relaxed V3PtF crystal.

D(E_F): 2.15 states/eV per cell
Symmetry: Pm-3m, No. 221
Relative energy among the computed polymorphs: 0.00 kJ per mole of atoms
E_tot: -5.941 eV/atom

abc: 4.321 4.321 4.321
angles: 90.00 90.00 90.00
Site moments in Bohr magnetons follow the coordinates.
Fractional coordinates of all 5 atoms:
V1 0.500 0.000 0.000  2.69
V2 0.000 0.000 0.500  2.69
V3 0.000 0.500 0.000  2.69
Pt1 0.500 0.500 0.500  0.07
F1 0.000 0.000 0.000  0.04